# 1
Rb2ZrPF: relaxed, PBE.

**Theoretical density**: 2.319 g/cm3
**Formation energy without anion corrections**: -459 meV per atom
**Uncorrected energy**: -0.2949 Ry per atom

Unit cell a=6.6724 b=6.6724 c=5.0198 alpha=90.00 beta=90.00 gamma=90.00
Fractional coordinates of all 5 atoms:
Rb 0.0000 0.5000 0.0000
Rb 0.5000 0.0000 0.0000
Zr 0.0000 0.0000 0.5000
P 0.0000 0.0000 0.0000
F 0.5000 0.5000 0.5000

# 2
Rb2ZrPF6: relaxed, PBE.

**Theoretical density**: 2.796 g/cm3
**Formation energy without anion corrections**: -2593 meV per atom
**Uncorrected energy**: -0.3899 Ry per atom

Unit cell a=7.0023 b=7.0023 c=7.0023 alpha=120.26 beta=120.26 gamma=89.55
Fractional coordinates of all 10 atoms:
Rb 0.2500 0.7500 0.5000
Rb 0.7500 0.2500 0.5000
Zr 0.0000 0.0000 0.0000
P 0.5000 0.5000 0.0000
F 0.2049 0.2049 0.0000
F 0.2065 0.2065 0.4131
F 0.2065 0.7935 0.0000
F 0.7935 0.2065 0.0000
F 0.7935 0.7935 0.5869
F 0.7951 0.7951 0.0000

# 3
RePF2: relaxed, PBE.

**Theoretical density**: 8.606 g/cm3
**Formation energy without anion corrections**: -335 meV per atom
**Uncorrected energy**: -0.4215 Ry per atom
**Relative energy among the computed polymorphs**: 371.2 meV/atom

Unit cell a=3.5046 b=3.5046 c=16.0345 alpha=90.00 beta=90.00 gamma=90.00
Fractional coordinates of all 16 atoms:
Re 0.0000 0.0000 0.0000
Re 0.0000 0.5000 0.2500
Re 0.5000 0.0000 0.7500
Re 0.5000 0.5000 0.5000
P 0.0000 0.0000 0.5000
P 0.0000 0.5000 0.7500
P 0.5000 0.0000 0.2500
P 0.5000 0.5000 0.0000
F 0.2210 0.2500 0.1250
F 0.2500 0.7210 0.3750
F 0.2500 0.7790 0.8750
F 0.2790 0.2500 0.6250
F 0.7210 0.7500 0.6250
F 0.7500 0.2210 0.8750
F 0.7500 0.2790 0.3750
F 0.7790 0.7500 0.1250

# 4
RePF2: relaxed, PBE.

**Theoretical density**: 8.416 g/cm3
**Formation energy without anion corrections**: 429 meV per atom
**Uncorrected energy**: -0.3654 Ry per atom
**Relative energy among the computed polymorphs**: 1135.4 meV/atom

Unit cell a=5.8616 b=5.8616 c=5.8616 alpha=90.00 beta=90.00 gamma=90.00
Fractional coordinates of all 16 atoms:
Re 0.0000 0.0000 0.0000
Re 0.0000 0.5000 0.5000
Re 0.5000 0.0000 0.5000
Re 0.5000 0.5000 0.0000
P 0.0000 0.0000 0.5000
P 0.0000 0.5000 0.0000
P 0.5000 0.0000 0.0000
P 0.5000 0.5000 0.5000
F 0.2500 0.2500 0.2500
F 0.2500 0.2500 0.7500
F 0.2500 0.7500 0.2500
F 0.2500 0.7500 0.7500
F 0.7500 0.2500 0.2500
F 0.7500 0.2500 0.7500
F 0.7500 0.7500 0.2500
F 0.7500 0.7500 0.7500

# 5
RePF2: relaxed, PBE.

**Theoretical density**: 6.843 g/cm3
**Formation energy without anion corrections**: -706 meV per atom
**Uncorrected energy**: -0.4488 Ry per atom
**Relative energy among the computed polymorphs**: 0.0 meV/atom

Unit cell a=2.6727 b=2.6727 c=30.0276 alpha=90.00 beta=90.00 gamma=120.00
Fractional coordinates of all 12 atoms:
Re 0.0000 0.0000 0.0000
Re 0.3333 0.6667 0.6667
Re 0.6667 0.3333 0.3333
P 0.0000 0.0000 0.5000
P 0.3333 0.6667 0.1667
P 0.6667 0.3333 0.8333
F 0.0000 0.0000 0.0633
F 0.0000 0.0000 0.9367
F 0.3333 0.6667 0.6034
F 0.3333 0.6667 0.7300
F 0.6667 0.3333 0.2700
F 0.6667 0.3333 0.3966

# 6
ReP2F: relaxed, PBE.

**Theoretical density**: 5.701 g/cm3
**Formation energy without anion corrections**: -53 meV per atom
**Uncorrected energy**: -0.4658 Ry per atom
**Relative energy among the computed polymorphs**: 0.0 meV/atom

Unit cell a=5.4716 b=5.4716 c=10.3964 alpha=90.00 beta=90.00 gamma=90.00
Fractional coordinates of all 16 atoms:
Re 0.0000 0.0000 0.0000
Re 0.0000 0.5000 0.2500
Re 0.5000 0.0000 0.7500
Re 0.5000 0.5000 0.5000
P 0.2207 0.2500 0.1250
P 0.2500 0.7207 0.3750
P 0.2500 0.7793 0.8750
P 0.2793 0.2500 0.6250
P 0.7207 0.7500 0.6250
P 0.7500 0.2207 0.8750
P 0.7500 0.2793 0.3750
P 0.7793 0.7500 0.1250
F 0.0000 0.0000 0.5000
F 0.0000 0.5000 0.7500
F 0.5000 0.0000 0.2500
F 0.5000 0.5000 0.0000

# 7
ReP2F: relaxed, PBE.

**Theoretical density**: 8.463 g/cm3
**Formation energy without anion corrections**: 35 meV per atom
**Uncorrected energy**: -0.4593 Ry per atom
**Relative energy among the computed polymorphs**: 87.7 meV/atom

Unit cell a=5.9408 b=5.9408 c=5.9408 alpha=90.00 beta=90.00 gamma=90.00
Fractional coordinates of all 16 atoms:
Re 0.0000 0.0000 0.0000
Re 0.0000 0.5000 0.5000
Re 0.5000 0.0000 0.5000
Re 0.5000 0.5000 0.0000
P 0.2500 0.2500 0.2500
P 0.2500 0.2500 0.7500
P 0.2500 0.7500 0.2500
P 0.2500 0.7500 0.7500
P 0.7500 0.2500 0.2500
P 0.7500 0.2500 0.7500
P 0.7500 0.7500 0.2500
P 0.7500 0.7500 0.7500
F 0.0000 0.0000 0.5000
F 0.0000 0.5000 0.0000
F 0.5000 0.0000 0.0000
F 0.5000 0.5000 0.5000

# 8
RePF2: relaxed, PBE.

**Theoretical density**: 7.076 g/cm3
**Formation energy without anion corrections**: -488 meV per atom
**Uncorrected energy**: -0.4328 Ry per atom
**Relative energy among the computed polymorphs**: 218.2 meV/atom

Unit cell a=2.6127 b=2.6127 c=30.3885 alpha=90.00 beta=90.00 gamma=120.00
Fractional coordinates of all 12 atoms:
Re 0.0000 0.0000 0.0000
Re 0.3333 0.6667 0.6667
Re 0.6667 0.3333 0.3333
P 0.0000 0.0000 0.5000
P 0.3333 0.6667 0.1667
P 0.6667 0.3333 0.8333
F 0.0000 0.0000 0.4458
F 0.0000 0.0000 0.5542
F 0.3333 0.6667 0.1124
F 0.3333 0.6667 0.2209
F 0.6667 0.3333 0.7791
F 0.6667 0.3333 0.8876